## i
7
Lattice="0.5571 2.4628 -4.1145 -0.9622 -4.7197 -0.1289 -7.7549 1.5003 2.6941" Properties=species:S:1:pos:R:3 comment="Y2Ho2Rh3 (PBE, relaxed)" spacegroup=C2/m vol_a3_per_cell=158.4 crystal_system=monoclinic pbc="T T T"
Y -0.9433 0.2704 -2.7992
Y -7.2167 -1.0269 1.2500
Ho -2.8968 0.5894 -0.0348
Ho -5.2632 -1.3460 -1.5145
Rh 0.0000 0.0000 0.0000
Rh -5.7695 1.1764 -0.0683
Rh -2.3905 -1.9330 -1.4810

---

## ii
7
Lattice="-2.7893 -2.1236 -3.3345 3.4681 -5.4903 4.0985 -3.0095 -1.3949 3.4325" Properties=species:S:1:pos:R:3 comment="Y2Ho2Rh3 (PBE, relaxed)" spacegroup=P-1 vol_a3_per_cell=159.3 crystal_system=triclinic pbc="T T T"
Y -3.4993 -3.9286 1.9341
Y 1.1687 -5.0802 2.2625
Ho -1.7356 -6.8303 2.3095
Ho -0.5951 -2.1786 1.8871
Rh 0.0000 0.0000 0.0000
Rh -1.1185 -4.6709 0.4054
Rh -1.2122 -4.3379 3.7911

---

Least stable structure among those shown: ii.